Density functional theory data (GGA-PBE) for a relaxed BeTlMo2 crystal.

a b c (Å): 3.159 3.159 6.554
angles (deg): 90.00 90.00 90.00
Space group P4/mmm (No. 123)
Inequivalent atoms, fractional coordinates:
Be1 0.000 0.000 0.000 (multiplicity 1)
Tl1 0.000 0.000 0.500 (multiplicity 1)
Mo1 0.500 0.500 0.177 (multiplicity 2)

Output
* theoretical density: 10291 kg/m³
* relative energy among the computed polymorphs: 0.275 eV per formula unit
* DOS at the Fermi energy: 2.2 states/eV/cell
* formation enthalpy at 0 K: 431 meV/atom
* magnetization: 0.00 μB/f.u.